10
Lattice="-2.825 -3.781 2.057 -0.017 -3.640 -6.714 6.267 -2.851 3.366" Properties=species:S:1:pos:R:3 comment="HoTlAuSe2, relaxed, DFT GGA-PBE" dos_at_fermi_per_ev_fu=2.292 space_group="P2/c (13)" energy_ev_per_fu=-21.209 pbc="T T T"
Ho 0.168 -2.584 1.860
Ho 3.274 -4.047 3.564
Tl 4.196 -4.621 -0.472
Tl -0.772 -5.651 -0.819
Au 0.000 0.000 0.000
Au 3.134 -1.425 1.683
Se 4.079 -7.903 -0.469
Se 1.597 -4.975 1.504
Se 1.828 -5.297 -2.795
Se -0.654 -2.369 -0.822



10
Lattice="-1.629 3.631 -1.345 -3.826 -0.808 -4.107 -7.579 -1.680 4.642" Properties=species:S:1:pos:R:3 comment="U2Ge2Pd, relaxed, DFT GGA-PBE" dos_at_fermi_per_ev_fu=7.494 space_group="C2/m (12)" e_form_ev_per_atom=-0.38 pbc="T T T"
U -6.507 -1.272 -2.114
U -10.015 1.018 1.755
U -6.527 2.416 1.304
U -3.019 0.126 -2.566
Ge -8.149 0.867 -0.912
Ge -11.066 -0.353 -0.673
Ge -4.885 0.277 0.102
Ge -1.968 1.497 -0.137
Pd -7.461 -0.515 1.084
Pd -5.573 1.659 -1.894



80
Lattice="-11.920 6.156 -5.879 -3.263 -5.256 13.276 10.597 10.041 1.193" Properties=species:S:1:pos:R:3 comment="Sm3Tl5Se12, relaxed, DFT GGA-PBE" dos_at_fermi_per_ev_fu=7.939 space_group="Ia-3d (230)" energy_ev_per_fu=-82.341 pbc="T T T"
Sm -8.839 3.901 0.719
Sm -11.552 2.700 4.963
Sm -0.294 4.642 8.498
Sm 0.586 4.647 0.637
Sm -8.189 7.240 -3.186
Sm -3.860 1.534 6.391
Sm -0.726 9.407 2.199
Sm 3.603 3.701 11.777
Sm -5.172 6.294 7.953
Sm -4.292 6.299 0.092
Sm 6.966 8.241 3.628
Sm 4.253 7.040 7.872
Tl -0.064 1.309 4.542
Tl -1.631 -2.628 6.638
Tl 0.000 0.000 0.000
Tl -3.961 2.250 1.264
Tl -0.662 8.098 -2.343
Tl -7.591 0.450 3.699
Tl 0.037 0.593 9.670
Tl -0.076 12.746 -1.706
Tl -7.005 5.097 4.336
Tl 3.070 9.182 0.350
Tl -7.656 1.759 8.241
Tl -2.293 5.470 4.295
Tl -5.960 3.078 -2.939
Tl 5.298 5.021 0.596
Tl 2.419 5.844 4.255
Tl -4.510 -1.805 10.296
Tl 3.667 2.393 7.235
Tl -4.623 10.348 -1.079
Tl -0.625 8.691 7.327
Tl -4.522 9.632 4.049
Se -8.557 4.286 -2.356
Se -1.310 3.256 5.930
Se -9.565 6.666 -0.455
Se -5.864 3.618 -0.068
Se -2.242 6.557 7.008
Se -11.348 4.487 2.424
Se -2.042 2.089 8.828
Se -2.518 -2.862 11.774
Se -2.932 5.398 9.919
Se -8.751 3.133 3.733
Se -6.846 6.027 1.810
Se -12.261 0.825 7.343
Se 1.830 2.599 9.498
Se -4.715 0.921 3.486
Se -0.212 -0.648 12.050
Se 0.838 7.685 0.132
Se 0.799 1.913 2.060
Se -6.604 0.067 6.423
Se -9.940 3.028 7.578
Se -2.102 -0.444 4.754
Se 0.805 5.001 11.364
Se -4.702 4.383 5.543
Se -7.722 6.846 6.259
Se -0.605 12.199 0.881
Se 0.116 6.558 3.048
Se 3.136 4.095 2.332
Se -3.981 -1.258 7.710
Se 5.354 7.913 1.012
Se -5.391 5.940 -2.773
Se -2.484 11.385 3.837
Se 2.018 10.874 2.167
Se -5.424 3.256 8.459
Se -5.385 9.028 6.530
Se -4.374 11.589 -3.460
Se -6.416 8.342 -0.908
Se 7.675 10.116 1.248
Se 0.129 10.020 5.105
Se -1.654 5.543 -1.328
Se 4.165 7.808 4.858
Se 2.260 4.914 6.780
Se -2.068 13.803 -3.183
Se -2.544 8.852 -0.237
Se 1.278 7.323 8.659
Se 6.762 6.454 6.167
Se -2.344 4.383 1.583
Se 4.979 4.275 9.045
Se -3.276 7.685 2.660
Se 3.971 6.655 10.947



4
Lattice="-3.791 1.222 -0.500 -2.972 -1.803 2.009 -1.348 5.121 6.616" Properties=species:S:1:pos:R:3 comment="HoNpS2, relaxed, DFT GGA-PBE" dos_at_fermi_per_ev_fu=9.375 space_group="R-3m (166)" de_polymorph_mev_per_atom=530 pbc="T T T"
Np -4.055 2.270 4.062
S -1.639 3.411 4.649
S -6.471 1.129 3.476
Ho 0.000 0.000 0.000



10
Lattice="7.254 0.000 0.000 0.000 7.255 0.000 3.627 3.627 5.561" Properties=species:S:1:pos:R:3 comment="Rb2LiAuCl6, relaxed, DFT GGA-PBE" space_group="I4/mmm (139)" energy_ev_per_fu=-30.722 pbc="T T T"
Rb 7.254 3.628 2.779
Rb 3.627 7.255 2.781
Li 0.000 0.000 0.000
Au 3.627 3.627 0.000
Cl 3.627 3.627 3.291
Cl 5.275 5.273 0.000
Cl 1.982 5.275 0.000
Cl 8.899 5.607 5.561
Cl 5.606 5.609 5.560
Cl 7.254 7.255 2.269



8
Lattice="-2.506 1.655 6.608 -6.574 -2.435 -1.883 -3.743 -3.346 3.405" Properties=species:S:1:pos:R:3 comment="HfPb2N, relaxed, DFT GGA-PBE" dos_at_fermi_per_ev_fu=1.959 space_group="I-42d (122)" energy_ev_per_fu=-22.595 pbc="T T T"
Pb -3.146 -0.224 4.277
Pb -5.535 -2.034 0.969
Pb -6.679 -2.975 4.192
Pb -10.286 -3.020 6.822
Hf 0.000 0.000 0.000
Hf -5.395 -1.041 6.188
N -4.540 -0.390 2.363
N -7.428 -3.086 1.942



12
Lattice="-3.783 -0.762 3.782 3.363 -3.843 2.590 0.205 5.303 1.273" Properties=species:S:1:pos:R:3 comment="AlGa2N2O, relaxed, DFT GGA-PBE" dos_at_fermi_per_ev_fu=2.000 space_group="Cmc2_1 (36)" energy_ev_per_fu=-36.932 pbc="T T T"
Al 1.730 -3.407 3.215
Al -2.387 -1.245 3.393
Ga -0.352 -2.054 5.689
Ga -1.370 1.056 5.297
Ga 0.504 -0.489 3.000
Ga -0.515 2.621 2.608
N 2.114 -1.566 3.393
N 1.025 1.417 2.904
N -1.999 2.330 3.923
N -0.910 -0.653 4.412
O 0.730 -3.921 4.626
O -0.068 -0.466 0.664



10
Lattice="-1.389 6.300 -3.532 -4.582 -3.549 -4.528 -1.899 -0.198 8.051" Properties=species:S:1:pos:R:3 comment="Cu2I2Cl, relaxed, DFT GGA-PBE" dos_at_fermi_per_ev_fu=3.673 space_group="I4_1md (109)" de_polymorph_mev_per_atom=0 pbc="T T T"
Cu -3.805 -0.514 4.254
Cu -2.888 -0.515 0.218
Cu -5.086 -2.217 -1.954
Cu -4.472 2.508 2.559
I -3.866 0.119 -2.154
I -4.828 -0.018 1.867
I -2.502 1.784 4.166
I -4.550 3.221 -3.893
Cl -0.813 0.196 0.669
Cl -3.950 3.934 0.914



12
Lattice="-3.223 0.947 -2.431 2.080 -1.398 -3.304 -4.948 -10.742 -1.204" Properties=species:S:1:pos:R:3 comment="Ti7Bi2H2Pb, relaxed, DFT GGA-PBE" dos_at_fermi_per_ev_fu=12.921 space_group="C2/m (12)" energy_ev_per_fu=-76.228 pbc="T T T"
Ti -0.572 -0.225 -2.868
Ti -2.211 -4.170 -2.229
Ti -3.881 -7.023 -4.710
Ti -3.007 -1.733 -3.764
Ti -0.355 -2.905 -4.201
Ti -5.736 -8.287 -2.738
Ti -3.084 -9.460 -3.175
Bi -2.772 -4.369 -5.102
Bi -3.320 -6.824 -1.837
H -4.714 -9.028 -4.383
H -1.378 -2.165 -2.556
Pb 0.000 0.000 0.000



4
Lattice="4.926 0.006 -0.009 4.222 2.539 -0.009 0.316 0.088 6.976" Properties=species:S:1:pos:R:3 comment="KLi2Tc, relaxed, DFT GGA-PBE" dos_at_fermi_per_ev_fu=2.078 space_group="C2/m (12)" de_polymorph_mev_per_atom=30 e_form_ev_per_atom=0.68 pbc="T T T"
K 7.098 1.974 5.218
Li 9.066 2.522 0.615
Li 4.815 1.339 2.845
Tc 2.366 0.658 1.739



10
Lattice="6.377 0.000 0.000 3.188 6.802 0.000 3.188 0.000 6.802" Properties=species:S:1:pos:R:3 comment="Pm5Pb4O, relaxed, DFT GGA-PBE" dos_at_fermi_per_ev_fu=6.952 space_group="I4 (79)" energy_ev_per_fu=-51.811 pbc="T T T"
Pm 9.551 2.377 5.899
Pm 6.363 5.899 4.425
Pm 6.363 0.904 2.377
Pm 3.175 4.425 0.904
Pm 2.780 0.000 0.000
Pb 6.398 2.678 5.045
Pb 9.587 5.045 4.124
Pb 3.210 1.757 2.678
Pb 6.398 4.124 1.757
O 0.444 0.000 0.000



6
Lattice="4.664 -0.140 -2.439 -2.969 4.342 -0.229 -0.173 0.169 5.338" Properties=species:S:1:pos:R:3 comment="Y2NiOs3, relaxed, DFT GGA-PBE" dos_at_fermi_per_ev_fu=3.484 space_group="C2/m (12)" e_form_ev_per_atom=-0.34 pbc="T T T"
Y 2.374 1.553 -1.228
Y -0.852 2.818 3.897
Ni 0.000 0.000 0.000
Os 0.761 2.186 1.335
Os -0.086 0.084 2.669
Os 2.246 0.015 1.449



5
Lattice="-1.671 -3.395 -0.060 0.189 -0.026 -3.779 3.390 -1.672 0.181" Properties=species:S:1:pos:R:3 comment="HfAgH3, relaxed, DFT GGA-PBE" dos_at_fermi_per_ev_fu=1.092 space_group="Pm-3m (221)" de_polymorph_mev_per_atom=0 pbc="T T T"
H 0.094 -0.013 -1.890
H 1.695 -0.836 0.090
H -0.836 -1.697 -0.030
Hf 0.000 0.000 0.000
Ag 0.954 -2.546 -1.829



7
Lattice="-1.763 4.578 -2.154 1.116 -1.872 -4.895 -7.344 -1.577 -4.004" Properties=species:S:1:pos:R:3 comment="Tl4AsF2, relaxed, DFT GGA-PBE" dos_at_fermi_per_ev_fu=1.612 space_group="I4/mmm (139)" energy_ev_per_fu=-22.982 pbc="T T T"
Tl -4.221 1.214 -7.293
Tl -3.770 -0.085 -3.760
Tl 0.558 -0.936 -2.447
Tl -0.882 2.289 -1.077
As 0.000 0.000 0.000
F -6.405 0.303 -7.442
F -1.586 0.826 -3.610



4
Lattice="0.000 3.243 3.243 3.243 0.000 3.243 3.243 3.243 0.000" Properties=species:S:1:pos:R:3 comment="Hf2GaF, relaxed, DFT GGA-PBE" dos_at_fermi_per_ev_fu=3.497 space_group="Fm-3m (225)" de_polymorph_mev_per_atom=0 pbc="T T T"
Hf 1.621 1.621 1.621
Hf 4.864 4.864 4.864
Ga 3.243 3.243 3.243
F 0.000 0.000 0.000



3
Lattice="8.761 0.011 0.000 7.944 3.694 0.000 -8.352 -1.852 1.886" Properties=species:S:1:pos:R:3 comment="SiPSe, relaxed, DFT GGA-PBE" dos_at_fermi_per_ev_fu=1.285 space_group="I4mm (107)" de_polymorph_mev_per_atom=485 pbc="T T T"
P 0.592 0.131 0.000
Se 5.400 1.197 0.000
Si 10.713 2.376 0.000



4
Lattice="5.585 0.000 0.000 2.792 4.836 0.000 2.792 1.612 4.560" Properties=species:S:1:pos:R:3 comment="TbPmSmMg, relaxed, DFT GGA-PBE" dos_at_fermi_per_ev_fu=5.532 space_group="F-43m (216)" de_polymorph_mev_per_atom=100 e_form_ev_per_atom=0.07 pbc="T T T"
Mg 0.000 0.000 0.000
Tb 2.792 1.612 1.140
Sm 8.377 4.836 3.420
Pm 5.585 3.224 2.280



3
Lattice="-3.122 0.581 -0.587 0.448 -0.737 -3.112 0.030 -5.741 3.040" Properties=species:S:1:pos:R:3 comment="NpHgPd, relaxed, DFT GGA-PBE" dos_at_fermi_per_ev_fu=5.373 space_group="I4mm (107)" e_form_ev_per_atom=-0.05 pbc="T T T"
Np -0.839 -3.734 0.763
Hg -0.038 -0.170 0.035
Pd -1.767 -1.993 -1.458



10
Lattice="7.670 0.000 0.000 3.835 6.643 0.000 3.835 2.214 7.000" Properties=species:S:1:pos:R:3 comment="Tb2ErTmTe6, relaxed, DFT GGA-PBE" space_group="R3 (146)" energy_ev_per_fu=-50.672 pbc="T T T"
Tb 7.670 4.428 3.292
Tb 3.834 2.214 6.794
Er 3.835 2.214 0.189
Tm 11.505 6.643 3.690
Te 6.427 2.058 1.778
Te 6.239 6.690 1.778
Te 10.343 4.537 1.778
Te 8.917 6.493 5.269
Te 8.834 2.315 5.269
Te 5.257 4.476 5.269



13
Lattice="8.116 0.004 -1.941 -4.696 6.667 -1.771 -0.323 -0.566 8.111" Properties=species:S:1:pos:R:3 comment="Np4SnSe8, relaxed, DFT GGA-PBE" dos_at_fermi_per_ev_fu=40.014 space_group="C2/m (12)" energy_ev_per_fu=-96.326 pbc="T T T"
Np 0.838 1.635 -0.909
Np 2.582 5.036 -2.802
Np -1.470 5.109 -1.598
Np 4.566 0.996 5.997
Sn -2.510 3.050 3.170
Se 5.498 0.148 0.351
Se -1.005 3.290 0.542
Se 3.154 3.301 -0.587
Se 1.338 0.102 1.416
Se 1.759 6.003 2.983
Se -0.057 2.804 4.987
Se 4.102 2.815 3.858
Se -2.401 5.957 4.048



8
Lattice="-0.510 6.995 0.725 -5.013 -4.288 -2.490 -0.619 -1.510 6.166" Properties=species:S:1:pos:R:3 comment="SmGaCl6, relaxed, DFT GGA-PBE" dos_at_fermi_per_ev_fu=0.000 space_group="C2/m (12)" energy_ev_per_fu=-31.493 pbc="T T T"
Sm 0.000 0.000 0.000
Ga -3.071 0.599 2.200
Cl -1.890 -0.410 4.084
Cl -1.123 1.873 1.661
Cl -4.252 1.607 0.316
Cl -3.797 2.385 3.611
Cl -5.019 -0.675 2.739
Cl -2.344 -1.187 0.789